This record from Alexandria via LeMat-Bulk describes a geometry-optimized CsTl3Ge structure. The functional is PBE.

```
CsTl3Ge
1.0
7.559 -0.002 -0.001
1.772 9.863 0.387
1.772 3.264 9.316
Tl Ge Cs
12 4 4
direct
0.918 0.684 0.684 Tl
0.585 0.646 0.994 Tl
0.082 0.316 0.316 Tl
0.397 0.017 0.356 Tl
0.415 0.354 0.006 Tl
0.582 0.316 0.316 Tl
0.915 0.006 0.354 Tl
0.103 0.644 0.983 Tl
0.418 0.684 0.684 Tl
0.085 0.994 0.646 Tl
0.897 0.356 0.017 Tl
0.603 0.983 0.644 Tl
0.213 0.744 0.411 Ge
0.713 0.411 0.744 Ge
0.787 0.256 0.589 Ge
0.287 0.589 0.256 Ge
0.250 0.347 0.653 Cs
0.250 0.983 0.017 Cs
0.750 0.653 0.347 Cs
0.750 0.017 0.983 Cs
```

Computed properties:
ΔE_f: 0.0001 eV/atom
Offset from the most stable computed form: 0 meV per atom
Final energy: -12.6 eV per formula unit
Space group: C2/c
DOS(E_F): 10.36 states/eV/cell

***

This record from Alexandria via LeMat-Bulk describes a geometry-optimized SrLaCdRh structure. The functional is PBE.

```
SrLaCdRh
1.0
-1.698 4.220 2.792
-5.183 1.272 0.026
-2.902 -0.718 4.421
La Cd Rh Sr
1 1 1 1
direct
0.000 0.000 0.000 La
0.750 0.750 0.750 Cd
0.250 0.250 0.250 Rh
0.500 0.500 0.500 Sr
```

Computed properties:
ΔE_f: -0.2998 eV/atom
Final energy: -16.1 eV per formula unit
Space group: F-43m
DOS(E_F): 4.33 states/eV/cell

***

This record from Alexandria via LeMat-Bulk describes a geometry-optimized Li8CuSb2 structure. The functional is PBE.

```
Li8CuSb2
1.0
4.670 0.000 0.000
0.000 6.287 -0.198
-2.335 -2.930 6.879
Li Sb Cu
8 2 1
direct
0.822 0.821 0.643 Li
0.350 0.589 0.701 Li
0.650 0.411 0.299 Li
0.350 0.112 0.701 Li
0.178 0.179 0.357 Li
0.000 0.256 0.000 Li
0.650 0.888 0.299 Li
0.000 0.744 0.000 Li
0.176 0.676 0.352 Sb
0.824 0.324 0.648 Sb
0.500 0.000 0.000 Cu
```

Computed properties:
Final energy: -32.0 eV per formula unit
Space group: Immm
DOS(E_F): 2.49 states/eV/cell

***

This record from Alexandria via LeMat-Bulk describes a geometry-optimized Er4Tl3In structure. The functional is PBE.

```
Er4Tl3In
1.0
-1.093 2.979 1.680
-3.403 -0.769 -0.851
-1.589 -8.507 14.049
Er Tl In
4 3 1
direct
0.000 0.000 0.123 Er
0.000 0.000 0.625 Er
0.000 0.000 0.375 Er
0.000 0.000 0.877 Er
0.500 0.500 0.250 Tl
0.500 0.500 0.750 Tl
0.500 0.500 0.500 Tl
0.500 0.500 0.000 In
```

Computed properties:
ΔE_f: -0.3461 eV/atom
Final energy: -30.9 eV per formula unit
Space group: P4/mmm
DOS(E_F): 5.76 states/eV/cell